No. 1
Material: HoFeS
Method: DFT, GGA-PBE
State: relaxed

Its crystal system is trigonal. For the formation energy without anion corrections, the calculation gives -0.74 eV/atom.

Cell and atoms, written as POSCAR:
```
HoFeS
1.0
-1.629 -1.860 2.915
1.673 -3.114 1.455
5.545 4.631 8.559
Ho S Fe
2 2 2
Direct
0.430 0.430 0.709
0.570 0.570 0.291
0.722 0.722 0.833
0.278 0.278 0.167
0.833 0.833 0.500
0.167 0.167 0.500
```

***

No. 2
Material: Ho6FeSb2
Method: DFT, GGA-PBE
State: relaxed

Its crystal system is hexagonal. For the formation energy without anion corrections, the calculation gives -0.56 eV/atom.

Cell and atoms, written as POSCAR:
```
Ho6FeSb2
1.0
-4.418 -5.599 -4.003
5.007 -2.299 6.044
-3.064 0.474 2.719
Ho Sb Fe
6 2 1
Direct
0.397 0.397 0.500
0.000 0.235 0.000
0.765 0.765 0.000
0.235 0.000 0.000
0.000 0.603 0.500
0.603 0.000 0.500
0.333 0.667 0.000
0.667 0.333 0.000
0.000 0.000 0.500
```

***

No. 3
Material: Ho8FeSb2
Method: DFT, GGA-PBE
State: relaxed

Its crystal system is monoclinic. For the formation energy without anion corrections, the calculation gives -0.35 eV/atom.

Cell and atoms, written as POSCAR:
```
Ho8FeSb2
1.0
4.487 0.000 0.000
0.000 7.182 0.734
-2.243 -2.049 9.263
Sb Ho Fe
2 8 1
Direct
0.819 0.230 0.639
0.181 0.770 0.361
0.633 0.033 0.267
0.594 0.514 0.188
0.002 0.780 0.004
0.216 0.341 0.432
0.998 0.220 0.996
0.784 0.659 0.568
0.367 0.967 0.733
0.406 0.486 0.812
0.500 0.000 0.000
```

***

Repeat the first record exactly.
Material: HoFeS
Method: DFT, GGA-PBE
State: relaxed

Its crystal system is trigonal. For the formation energy without anion corrections, the calculation gives -0.74 eV/atom.

Cell and atoms, written as POSCAR:
```
HoFeS
1.0
-1.629 -1.860 2.915
1.673 -3.114 1.455
5.545 4.631 8.559
Ho S Fe
2 2 2
Direct
0.430 0.430 0.709
0.570 0.570 0.291
0.722 0.722 0.833
0.278 0.278 0.167
0.833 0.833 0.500
0.167 0.167 0.500
```